The following is a GGA-PBE calculation of ErSn2Ge2Pd7 after structural relaxation, from Alexandria via LeMat-Bulk.

Properties
**N(E_F)**: 3.39 states/eV per cell
**Total energy**: -5.342 eV per atom
**E_form**: -5.9 eV per formula unit

Lattice parameters (Å, degrees): 4.0140 4.0140 14.2602 97.11 97.11 89.24
Closest atoms and distances in Å follow each position.
Positions (direct):
1 Er 0.0000 0.0000 0.0000  12 Pd 2.82-2.93
2 Sn 0.1161 0.1161 0.3807  5 Pd 2.76-3.02
3 Sn 0.8839 0.8839 0.6193  5 Pd 2.76-3.02
4 Ge 0.3915 0.3915 0.7426  5 Pd 2.47-2.51
5 Ge 0.6085 0.6085 0.2574  5 Pd 2.47-2.51
6 Pd 0.0657 0.5675 0.1517  2 Ge 2.49-2.51
7 Pd 0.3477 0.3477 0.5671  1 Ge 2.47, 1 Sn 2.76
8 Pd 0.4325 0.9343 0.8483  2 Ge 2.49-2.51
9 Pd 0.5000 0.5000 0.0000  4 Er 2.82-2.86, 8 Pd 2.93
10 Pd 0.5675 0.0657 0.1517  2 Ge 2.49-2.51
11 Pd 0.6523 0.6523 0.4329  1 Ge 2.47, 1 Sn 2.76
12 Pd 0.9343 0.4325 0.8483  2 Ge 2.49-2.51

---

The following is a GGA-PBE calculation of SrErGe2Pd5 after structural relaxation, from Alexandria via LeMat-Bulk.

Properties
**N(E_F)**: 3.55 states/eV per cell
**Total energy**: -5.261 eV per atom
**E_form**: -5.9 eV per formula unit

Lattice parameters (Å, degrees): 4.3886 4.3886 8.8704 90.00 90.00 90.00
Closest atoms and distances in Å follow each position.
Positions (direct):
1 Sr 0.0000 0.0000 0.0000  12 Pd 3.05-3.10
2 Er 0.0000 0.0000 0.5000  8 Pd 3.19, 8 Ge 3.34
3 Ge 0.5000 0.5000 0.3607  4 Pd 2.44, 1 Ge 2.47
4 Ge 0.5000 0.5000 0.6393  4 Pd 2.44, 1 Ge 2.47
5 Pd 0.0000 0.5000 0.2392  2 Ge 2.44
6 Pd 0.0000 0.5000 0.7608  2 Ge 2.44
7 Pd 0.5000 0.0000 0.2392  2 Ge 2.44
8 Pd 0.5000 0.0000 0.7608  2 Ge 2.44
9 Pd 0.5000 0.5000 0.0000  8 Pd 3.05, 4 Sr 3.10, 2 Ge 3.20

---

The following is a GGA-PBE calculation of Sr2ErGe3Pd4 after structural relaxation, from Alexandria via LeMat-Bulk.

Properties
**N(E_F)**: 5.15 states/eV per cell
**Total energy**: -5.017 eV per atom
**E_form**: -7.6 eV per formula unit

Lattice parameters (Å, degrees): 4.4066 4.4066 11.0484 90.00 90.00 90.00
Closest atoms and distances in Å follow each position.
Positions (direct):
1 Sr 0.0000 0.5000 0.2299  6 Ge 3.36-3.71, 8 Pd 3.36-3.37, 2 Er 3.71
2 Sr 0.5000 0.0000 0.7701  6 Ge 3.36-3.71, 8 Pd 3.36-3.37, 2 Er 3.71
3 Er 0.0000 0.0000 0.5000  4 Pd 2.79, 4 Ge 3.12
4 Ge 0.0000 0.5000 0.8830  5 Pd 2.52-2.55
5 Ge 0.5000 0.0000 0.1170  5 Pd 2.52-2.55
6 Ge 0.5000 0.5000 0.5000  4 Pd 2.79, 4 Er 3.12
7 Pd 0.0000 0.0000 0.0000  4 Ge 2.55
8 Pd 0.0000 0.5000 0.6545  3 Ge 2.52-2.79, 2 Er 2.79
9 Pd 0.5000 0.0000 0.3455  3 Ge 2.52-2.79, 2 Er 2.79
10 Pd 0.5000 0.5000 0.0000  4 Ge 2.55

---

The following is a GGA-PBE calculation of Er8Ge3Te4Pd after structural relaxation, from Alexandria via LeMat-Bulk.

Properties
**N(E_F)**: 6.31 states/eV per cell
**Total energy**: -5.365 eV per atom
**Raw formation energy**: -1.107 eV per atom

Lattice parameters (Å, degrees): 8.5425 8.5425 8.5425 58.85 58.85 58.85
Closest atoms and distances in Å follow each position.
Positions (direct):
1 Er 0.2366 0.7410 0.7410  2 Ge 2.86, 1 Pd 2.89, 3 Te 3.11-3.14
2 Er 0.2399 0.2399 0.2399  3 Ge 2.87, 3 Te 3.12
3 Er 0.2590 0.2590 0.7634  2 Ge 2.86, 1 Pd 2.89, 3 Te 3.11-3.14
4 Er 0.2590 0.7634 0.2590  2 Ge 2.86, 1 Pd 2.89, 3 Te 3.11-3.14
5 Er 0.7410 0.2366 0.7410  2 Ge 2.86, 1 Pd 2.89, 3 Te 3.11-3.14
6 Er 0.7410 0.7410 0.2366  2 Ge 2.86, 1 Pd 2.89, 3 Te 3.11-3.14
7 Er 0.7601 0.7601 0.7601  3 Ge 2.87, 3 Te 3.12
8 Er 0.7634 0.2590 0.2590  2 Ge 2.86, 1 Pd 2.89, 3 Te 3.11-3.14
9 Ge 0.0000 0.0000 0.5000  6 Er 2.86-2.87
10 Ge 0.0000 0.5000 0.0000  6 Er 2.86-2.87
11 Ge 0.5000 0.0000 0.0000  6 Er 2.86-2.87
12 Te 0.0000 0.0000 0.0000  6 Er 3.11
13 Te 0.0000 0.5000 0.5000  6 Er 3.12-3.14
14 Te 0.5000 0.0000 0.5000  6 Er 3.12-3.14
15 Te 0.5000 0.5000 0.0000  6 Er 3.12-3.14
16 Pd 0.5000 0.5000 0.5000  6 Er 2.89

---

The following is a GGA-PBE calculation of ErThGePd after structural relaxation, from Alexandria via LeMat-Bulk.

Properties
**N(E_F)**: 4.34 states/eV per cell
**Total energy**: -6.095 eV per atom
**E_form**: -2.6 eV per formula unit

Lattice parameters (Å, degrees): 5.0914 5.0914 5.0914 60.00 60.00 60.00
Closest atoms and distances in Å follow each position.
Positions (direct):
1 Er 0.0000 0.0000 0.0000  4 Ge 3.12, 4 Pd 3.12
2 Th 0.5000 0.5000 0.5000  4 Ge 3.12, 4 Pd 3.12
3 Ge 0.7500 0.7500 0.7500  4 Th 3.12, 4 Er 3.12
4 Pd 0.2500 0.2500 0.2500  4 Th 3.12, 4 Er 3.12

---

The following is a GGA-PBE calculation of Er2ZnGe4Pd3 after structural relaxation, from Alexandria via LeMat-Bulk.

Properties
**N(E_F)**: 3.07 states/eV per cell
**Total energy**: -5.126 eV per atom
**E_form**: -6.8 eV per formula unit

Lattice parameters (Å, degrees): 4.0554 4.0554 11.1783 90.00 90.00 90.00
Closest atoms and distances in Å follow each position.
Positions (direct):
1 Er 0.0000 0.5000 0.2375  4 Ge 3.07, 6 Pd 3.17-3.34, 2 Zn 3.34
2 Er 0.5000 0.0000 0.7625  4 Ge 3.07, 6 Pd 3.17-3.34, 2 Zn 3.34
3 Zn 0.5000 0.5000 0.0000  4 Ge 2.57, 4 Pd 2.87
4 Ge 0.0000 0.0000 0.5000  4 Pd 2.57, 4 Ge 2.87
5 Ge 0.0000 0.5000 0.8593  3 Pd 2.44-2.57, 2 Zn 2.57
6 Ge 0.5000 0.0000 0.1407  3 Pd 2.44-2.57, 2 Zn 2.57
7 Ge 0.5000 0.5000 0.5000  4 Pd 2.57, 4 Ge 2.87
8 Pd 0.0000 0.0000 0.0000  4 Ge 2.57, 4 Zn 2.87
9 Pd 0.0000 0.5000 0.6413  5 Ge 2.44-2.57
10 Pd 0.5000 0.0000 0.3587  5 Ge 2.44-2.57